PBE LaBeIr2, optimized geometry; density of states at the Fermi level = 1.025 states/eV/atom; total magnetic moment = 0.000 Bohr magnetons per cell; formation enthalpy at 0 K = 0.06 eV/atom; final energy = -6.5356 eV/atom
1.0
5.1675 -0.0004 0.0000
2.0443 4.7459 0.0000
-3.6059 -2.3727 2.8409
La Be Ir
1 1 2
Direct
0.5000 0.5000 0.0000
0.7500 0.2500 0.5000
0.2500 0.7500 0.5000
0.0000 0.0000 0.0000